AcLu3Mn: relaxed, GGA-PBE.

Output
The formation energy comes out at 0.16 eV/atom. Its crystal system is cubic. The density of states at the Fermi level comes out at 6.79 states/eV/f.u.

The structure in CIF format:
```
data_AcLu3Mn
_chemical_formula_sum 'Ac1 Lu3 Mn1'
_space_group_name_H-M_alt 'P m -3 m'
_space_group_IT_number 221
_space_group_name_Hall '-P 4 2 3'
_cell_length_a 5.3053
_cell_length_b 5.3053
_cell_length_c 5.3053
_cell_angle_alpha 90.00
_cell_angle_beta 90.00
_cell_angle_gamma 90.00
loop_
_atom_site_label
_atom_site_type_symbol
_atom_site_fract_x
_atom_site_fract_y
_atom_site_fract_z
Ac1 Ac 0.0000 0.0000 0.0000
Lu1 Lu 0.0000 0.5000 0.5000
Mn1 Mn 0.5000 0.5000 0.5000
```



AcLu2Mn: relaxed, GGA-PBE.

Output
The formation energy comes out at 0.14 eV/atom. Its crystal system is tetragonal. The density of states at the Fermi level comes out at 6.29 states/eV/f.u.

The structure in CIF format:
```
data_AcLu2Mn
_chemical_formula_sum 'Ac1 Lu2 Mn1'
_space_group_name_H-M_alt 'P 4/m m m'
_space_group_IT_number 123
_space_group_name_Hall '-P 4 2'
_cell_length_a 3.5549
_cell_length_b 3.5549
_cell_length_c 9.0257
_cell_angle_alpha 90.00
_cell_angle_beta 90.00
_cell_angle_gamma 90.00
loop_
_atom_site_label
_atom_site_type_symbol
_atom_site_fract_x
_atom_site_fract_y
_atom_site_fract_z
Ac1 Ac 0.0000 0.0000 0.0000
Lu1 Lu 0.5000 0.5000 0.3180
Mn1 Mn 0.0000 0.0000 0.5000
```



AcLu2N: relaxed, GGA-PBE.

Output
For the formation energy without anion corrections, the calculation gives -0.03 eV per atom. Its crystal system is tetragonal. The density of states at the Fermi level comes out at 4.04 states/eV/f.u.

The structure in CIF format:
```
data_AcLu2N
_chemical_formula_sum 'Ac1 Lu2 N1'
_space_group_name_H-M_alt 'P 4/m m m'
_space_group_IT_number 123
_space_group_name_Hall '-P 4 2'
_cell_length_a 3.2361
_cell_length_b 3.2361
_cell_length_c 8.7816
_cell_angle_alpha 90.00
_cell_angle_beta 90.00
_cell_angle_gamma 90.00
loop_
_atom_site_label
_atom_site_type_symbol
_atom_site_fract_x
_atom_site_fract_y
_atom_site_fract_z
Ac1 Ac 0.0000 0.0000 0.0000
Lu1 Lu 0.5000 0.5000 0.3411
N1 N 0.0000 0.0000 0.5000
```



AcLuN: relaxed, GGA-PBE.

Output
For the formation energy without anion corrections, the calculation gives -0.58 eV per atom. Its crystal system is tetragonal. For the distance to the lowest polymorph of the same formula, the calculation gives 256 meV per atom. The density of states at the Fermi level comes out at 3.16 states/eV/f.u.

The structure in CIF format:
```
data_AcLuN
_chemical_formula_sum 'Ac2 Lu2 N2'
_space_group_name_H-M_alt 'I 4 m m'
_space_group_IT_number 107
_space_group_name_Hall 'I 4 -2'
_cell_length_a 3.3334
_cell_length_b 3.3334
_cell_length_c 14.3228
_cell_angle_alpha 90.00
_cell_angle_beta 90.00
_cell_angle_gamma 90.00
loop_
_atom_site_label
_atom_site_type_symbol
_atom_site_fract_x
_atom_site_fract_y
_atom_site_fract_z
Ac1 Ac 0.0000 0.0000 0.0000
Lu1 Lu 0.0000 0.0000 0.2985
N1 N 0.0000 0.0000 0.8238
```



AcLuN: relaxed, GGA-PBE.

Output
For the formation energy without anion corrections, the calculation gives -0.83 eV per atom. Its crystal system is trigonal. For the distance to the lowest polymorph of the same formula, the calculation gives 0 meV per atom. The density of states at the Fermi level comes out at 2.86 states/eV/f.u.

The structure in CIF format:
```
data_AcLuN
_chemical_formula_sum 'Ac1 Lu1 N1'
_space_group_name_H-M_alt 'P 3 m 1'
_space_group_IT_number 156
_cell_length_a 3.5829
_cell_length_b 3.5829
_cell_length_c 6.6773
_cell_angle_alpha 90.00
_cell_angle_beta 90.00
_cell_angle_gamma 120.00
loop_
_space_group_symop_operation_xyz
'x,y,z'
'-y,x-y,z'
'-x+y,-x,z'
'-y,-x,z'
'-x+y,y,z'
'x,x-y,z'
loop_
_atom_site_label
_atom_site_type_symbol
_atom_site_fract_x
_atom_site_fract_y
_atom_site_fract_z
Ac1 Ac 0.0000 0.0000 0.0000
Lu1 Lu 0.6667 0.3333 0.4327
N1 N 0.3333 0.6667 0.2926
```



NaAc2Lu: relaxed, GGA-PBE.

Output
The formation energy comes out at 0.16 eV/atom. Its crystal system is trigonal. For the distance to the lowest polymorph of the same formula, the calculation gives 48 meV per atom. The density of states at the Fermi level comes out at 4.57 states/eV/f.u.

The structure in CIF format:
```
data_NaAc2Lu
_chemical_formula_sum 'Na3 Ac6 Lu3'
_space_group_name_H-M_alt 'R -3 m'
_space_group_IT_number 166
_space_group_name_Hall '-R 3 2"'
_cell_length_a 3.7869
_cell_length_b 3.7869
_cell_length_c 39.8148
_cell_angle_alpha 90.00
_cell_angle_beta 90.00
_cell_angle_gamma 120.00
loop_
_atom_site_label
_atom_site_type_symbol
_atom_site_fract_x
_atom_site_fract_y
_atom_site_fract_z
Na1 Na 0.0000 0.0000 0.0000
Ac1 Ac 0.0000 0.0000 0.0933
Lu1 Lu 0.0000 0.0000 0.5000
```



NaAc2Lu: relaxed, GGA-PBE.

Output
The formation energy comes out at 0.12 eV/atom. Its crystal system is tetragonal. For the distance to the lowest polymorph of the same formula, the calculation gives 0 meV per atom. The density of states at the Fermi level comes out at 4.15 states/eV/f.u.

The structure in CIF format:
```
data_NaAc2Lu
_chemical_formula_sum 'Na1 Ac2 Lu1'
_space_group_name_H-M_alt 'P 4/m m m'
_space_group_IT_number 123
_space_group_name_Hall '-P 4 2'
_cell_length_a 4.1797
_cell_length_b 4.1797
_cell_length_c 9.1824
_cell_angle_alpha 90.00
_cell_angle_beta 90.00
_cell_angle_gamma 90.00
loop_
_atom_site_label
_atom_site_type_symbol
_atom_site_fract_x
_atom_site_fract_y
_atom_site_fract_z
Na1 Na 0.0000 0.0000 0.0000
Ac1 Ac 0.5000 0.5000 0.2717
Lu1 Lu 0.0000 0.0000 0.5000
```



NaAc2Lu: relaxed, GGA-PBE.

Output
The formation energy comes out at 0.16 eV/atom. Its crystal system is tetragonal. For the distance to the lowest polymorph of the same formula, the calculation gives 39 meV per atom. The density of states at the Fermi level comes out at 4.78 states/eV/f.u.

The structure in CIF format:
```
data_NaAc2Lu
_chemical_formula_sum 'Na1 Ac2 Lu1'
_space_group_name_H-M_alt 'P 4/m m m'
_space_group_IT_number 123
_space_group_name_Hall '-P 4 2'
_cell_length_a 6.1772
_cell_length_b 6.1772
_cell_length_c 4.0071
_cell_angle_alpha 90.00
_cell_angle_beta 90.00
_cell_angle_gamma 90.00
loop_
_atom_site_label
_atom_site_type_symbol
_atom_site_fract_x
_atom_site_fract_y
_atom_site_fract_z
Na1 Na 0.0000 0.0000 0.0000
Ac1 Ac 0.0000 0.5000 0.5000
Lu1 Lu 0.5000 0.5000 0.0000
```



NaAc2Lu: relaxed, GGA-PBE.

Output
The formation energy comes out at 0.19 eV/atom. Its crystal system is cubic. For the distance to the lowest polymorph of the same formula, the calculation gives 76 meV per atom. The density of states at the Fermi level comes out at 4.47 states/eV/f.u.

The structure in CIF format:
```
data_NaAc2Lu
_chemical_formula_sum 'Na4 Ac8 Lu4'
_space_group_name_H-M_alt 'F m -3 m'
_space_group_IT_number 225
_space_group_name_Hall '-F 4 2 3'
_cell_length_a 8.4879
_cell_length_b 8.4879
_cell_length_c 8.4879
_cell_angle_alpha 90.00
_cell_angle_beta 90.00
_cell_angle_gamma 90.00
loop_
_atom_site_label
_atom_site_type_symbol
_atom_site_fract_x
_atom_site_fract_y
_atom_site_fract_z
Na1 Na 0.0000 0.0000 0.0000
Ac1 Ac 0.2500 0.2500 0.2500
Lu1 Lu 0.0000 0.0000 0.5000
```



NaAcNdLu: relaxed, GGA-PBE.

Output
The formation energy comes out at 0.23 eV/atom. Its crystal system is cubic. The density of states at the Fermi level comes out at 4.54 states/eV/f.u.

The structure in CIF format:
```
data_NaAcNdLu
_chemical_formula_sum 'Na4 Ac4 Nd4 Lu4'
_space_group_name_H-M_alt 'F -4 3 m'
_space_group_IT_number 216
_space_group_name_Hall 'F -4 2 3'
_cell_length_a 8.2929
_cell_length_b 8.2929
_cell_length_c 8.2929
_cell_angle_alpha 90.00
_cell_angle_beta 90.00
_cell_angle_gamma 90.00
loop_
_atom_site_label
_atom_site_type_symbol
_atom_site_fract_x
_atom_site_fract_y
_atom_site_fract_z
Na1 Na 0.0000 0.0000 0.0000
Ac1 Ac 0.2500 0.2500 0.7500
Nd1 Nd 0.2500 0.2500 0.2500
Lu1 Lu 0.0000 0.0000 0.5000
```



NaAcPrLu: relaxed, GGA-PBE.

Output
The formation energy comes out at 0.23 eV/atom. Its crystal system is cubic. The density of states at the Fermi level comes out at 4.58 states/eV/f.u.

The structure in CIF format:
```
data_NaAcPrLu
_chemical_formula_sum 'Na4 Ac4 Pr4 Lu4'
_space_group_name_H-M_alt 'F -4 3 m'
_space_group_IT_number 216
_space_group_name_Hall 'F -4 2 3'
_cell_length_a 8.3100
_cell_length_b 8.3100
_cell_length_c 8.3100
_cell_angle_alpha 90.00
_cell_angle_beta 90.00
_cell_angle_gamma 90.00
loop_
_atom_site_label
_atom_site_type_symbol
_atom_site_fract_x
_atom_site_fract_y
_atom_site_fract_z
Na1 Na 0.0000 0.0000 0.0000
Ac1 Ac 0.2500 0.2500 0.2500
Pr1 Pr 0.2500 0.2500 0.7500
Lu1 Lu 0.0000 0.0000 0.5000
```



NaAcSmLu: relaxed, GGA-PBE.

Output
The formation energy comes out at 0.25 eV/atom. Its crystal system is cubic. The density of states at the Fermi level comes out at 4.94 states/eV/f.u.

The structure in CIF format:
```
data_NaAcSmLu
_chemical_formula_sum 'Na4 Ac4 Sm4 Lu4'
_space_group_name_H-M_alt 'F -4 3 m'
_space_group_IT_number 216
_space_group_name_Hall 'F -4 2 3'
_cell_length_a 8.2650
_cell_length_b 8.2650
_cell_length_c 8.2650
_cell_angle_alpha 90.00
_cell_angle_beta 90.00
_cell_angle_gamma 90.00
loop_
_atom_site_label
_atom_site_type_symbol
_atom_site_fract_x
_atom_site_fract_y
_atom_site_fract_z
Na1 Na 0.0000 0.0000 0.0000
Ac1 Ac 0.2500 0.2500 0.7500
Sm1 Sm 0.2500 0.2500 0.2500
Lu1 Lu 0.0000 0.0000 0.5000
```



NaAcLuTl: relaxed, GGA-PBE.

Output
The formation energy comes out at -0.01 eV/atom. Its crystal system is cubic. The density of states at the Fermi level comes out at 3.56 states/eV/f.u.

The structure in CIF format:
```
data_NaAcLuTl
_chemical_formula_sum 'Na4 Ac4 Lu4 Tl4'
_space_group_name_H-M_alt 'F -4 3 m'
_space_group_IT_number 216
_space_group_name_Hall 'F -4 2 3'
_cell_length_a 7.9648
_cell_length_b 7.9648
_cell_length_c 7.9648
_cell_angle_alpha 90.00
_cell_angle_beta 90.00
_cell_angle_gamma 90.00
loop_
_atom_site_label
_atom_site_type_symbol
_atom_site_fract_x
_atom_site_fract_y
_atom_site_fract_z
Na1 Na 0.0000 0.0000 0.0000
Ac1 Ac 0.2500 0.2500 0.2500
Lu1 Lu 0.2500 0.2500 0.7500
Tl1 Tl 0.0000 0.0000 0.5000
```



Ac2NdLu: relaxed, GGA-PBE.

Output
The formation energy comes out at 0.04 eV/atom. Its crystal system is tetragonal. For the distance to the lowest polymorph of the same formula, the calculation gives 0 meV per atom. The density of states at the Fermi level comes out at 5.57 states/eV/f.u.

The structure in CIF format:
```
data_Ac2NdLu
_chemical_formula_sum 'Ac2 Nd1 Lu1'
_space_group_name_H-M_alt 'P 4/m m m'
_space_group_IT_number 123
_space_group_name_Hall '-P 4 2'
_cell_length_a 5.4043
_cell_length_b 5.4043
_cell_length_c 5.2060
_cell_angle_alpha 90.00
_cell_angle_beta 90.00
_cell_angle_gamma 90.00
loop_
_atom_site_label
_atom_site_type_symbol
_atom_site_fract_x
_atom_site_fract_y
_atom_site_fract_z
Ac1 Ac 0.0000 0.5000 0.0000
Nd1 Nd 0.0000 0.0000 0.5000
Lu1 Lu 0.5000 0.5000 0.5000
```



Ac2NdLu: relaxed, GGA-PBE.

Output
The formation energy comes out at 0.05 eV/atom. Its crystal system is tetragonal. For the distance to the lowest polymorph of the same formula, the calculation gives 6 meV per atom. The density of states at the Fermi level comes out at 5.94 states/eV/f.u.

The structure in CIF format:
```
data_Ac2NdLu
_chemical_formula_sum 'Ac2 Nd1 Lu1'
_space_group_name_H-M_alt 'P 4/m m m'
_space_group_IT_number 123
_space_group_name_Hall '-P 4 2'
_cell_length_a 3.8964
_cell_length_b 3.8964
_cell_length_c 10.0420
_cell_angle_alpha 90.00
_cell_angle_beta 90.00
_cell_angle_gamma 90.00
loop_
_atom_site_label
_atom_site_type_symbol
_atom_site_fract_x
_atom_site_fract_y
_atom_site_fract_z
Ac1 Ac 0.0000 0.0000 0.2411
Nd1 Nd 0.5000 0.5000 0.5000
Lu1 Lu 0.5000 0.5000 0.0000
```